SrMg2Ni: relaxed, PBE.

Cell: 5.088 5.088 5.088 Å, 60.00 60.00 60.00°
Atoms (fractional coordinates):
Sr (0.000, 0.000, 0.000)
Mg (0.500, 0.500, 0.500)
Mg (0.750, 0.750, 0.750)
Ni (0.250, 0.250, 0.250)

Computed properties:
DFT total energy = -2.435 eV per atom